[1]
Compound: RbBa2LiAl
Source: Alexandria
Functional: PBE-GGA
Structure: optimized geometry

Computed properties:
The calculation puts the formation enthalpy at 0 K at 0.160 eV/atom. The density of states at the Fermi level is 1.3479 states/eV/atom.

Cell lengths 6.785, 5.646, 6.785 Å; angles 90.00, 90.00, 90.00 degrees
Atoms (fractional coordinates):
Li 0.000 0.500 0.000
Ba 0.000 0.000 0.500
Ba 0.500 0.000 0.000
Rb 0.500 0.500 0.500
Al 0.000 0.000 0.000

[2]
Compound: LiZrGaI6
Source: Alexandria
Functional: PBE-GGA
Structure: optimized geometry

Computed properties:
For the uncorrected formation energy, the calculation gives -830 meV/atom.

Cell lengths 7.541, 7.541, 14.262 Å; angles 90.00, 90.00, 120.00 degrees
Atoms (fractional coordinates):
Li 0.333 0.667 0.250
Li 0.667 0.333 0.750
Zr 0.667 0.333 0.250
Zr 0.333 0.667 0.750
Ga 0.000 0.000 0.000
Ga 0.000 0.000 0.500
I 0.646 0.635 0.133
I 0.989 0.354 0.133
I 0.354 0.989 0.633
I 0.011 0.646 0.867
I 0.365 0.354 0.367
I 0.989 0.635 0.367
I 0.635 0.989 0.867
I 0.646 0.011 0.367
I 0.011 0.365 0.633
I 0.365 0.011 0.133
I 0.635 0.646 0.633
I 0.354 0.365 0.867

[3]
Compound: DyPuNiPd
Source: Alexandria
Functional: PBE-GGA
Structure: optimized geometry

Computed properties:
The calculation puts the formation enthalpy at 0 K at -0.363 eV/atom. The density of states at the Fermi level is 3.5910 states/eV/atom.

Cell lengths 4.892, 4.892, 4.892 Å; angles 60.00, 60.00, 60.00 degrees
Atoms (fractional coordinates):
Ni 0.000 0.000 0.000
Dy 0.250 0.250 0.250
Pd 0.500 0.500 0.500
Pu 0.750 0.750 0.750

For each record above, in turn, the calculated E values are -9.669, -60.522, -31.360 eV per cell.